The following is a PBE calculation of crystalline In2Sn5Pb4 at its relaxed geometry, from the Alexandria database.

```
data_In2Sn5Pb4
_symmetry_space_group_name_H-M 'C 1 2/m 1'
_symmetry_Int_Tables_number 12
_cell_length_a 16.5662
_cell_length_b 6.1848
_cell_length_c 6.6407
_cell_angle_alpha 90.00
_cell_angle_beta 103.63
_cell_angle_gamma 90.00
loop_
_symmetry_equiv_pos_as_xyz
'x,y,z'
'-x,-y,-z'
'-x,y,-z'
'x,-y,z'
'x+1/2,y+1/2,z'
'-x+1/2,-y+1/2,-z'
'-x+1/2,y+1/2,-z'
'x+1/2,-y+1/2,z'
loop_
_atom_site_label
_atom_site_type_symbol
_atom_site_fract_x
_atom_site_fract_y
_atom_site_fract_z
In1 In 0.2489 0.0000 0.3449
Sn1 Sn 0.0000 0.5000 0.0000
Sn2 Sn 0.0836 0.2480 0.4317
Pb1 Pb 0.0837 0.0000 0.8974
Pb2 Pb 0.2053 0.5000 0.1168
```

Results
The value obtained for the calculated formation energy is 74 meV per atom. The calculation puts the density of states at the Fermi level at 10.12 states/eV per cell.

The following is a PBE calculation of crystalline DyHfCuS4 at its relaxed geometry, from the Alexandria database.

```
data_DyHfCuS4
_symmetry_space_group_name_H-M 'I m m a'
_symmetry_Int_Tables_number 74
_symmetry_space_group_name_Hall '-I 2b 2'
_cell_length_a 7.4464
_cell_length_b 7.6321
_cell_length_c 10.7136
_cell_angle_alpha 90.00
_cell_angle_beta 90.00
_cell_angle_gamma 90.00
loop_
_atom_site_label
_atom_site_type_symbol
_atom_site_fract_x
_atom_site_fract_y
_atom_site_fract_z
Dy1 Dy 0.0000 0.0000 0.0000
Hf1 Hf 0.2500 0.2500 0.2500
Cu1 Cu 0.0000 0.2500 0.6219
S1 S 0.0000 0.0144 0.2551
S2 S 0.2443 0.2500 0.4872
```

Results
Its uncorrected formation energy is -980.5 kJ/mol of formula units. The calculation puts the density of states at the Fermi level at 1.00 states/eV per cell.

The following is a PBE calculation of crystalline Ho2Ga2Hg3 at its relaxed geometry, from the Alexandria database.

```
data_Ho2Ga2Hg3
_symmetry_space_group_name_H-M 'C m m m'
_symmetry_Int_Tables_number 65
_symmetry_space_group_name_Hall '-C 2 2'
_cell_length_a 4.2109
_cell_length_b 20.9879
_cell_length_c 3.6299
_cell_angle_alpha 90.00
_cell_angle_beta 90.00
_cell_angle_gamma 90.00
loop_
_atom_site_label
_atom_site_type_symbol
_atom_site_fract_x
_atom_site_fract_y
_atom_site_fract_z
Ho1 Ho 0.0000 0.1605 0.0000
Ga1 Ga 0.0000 0.2835 0.5000
Hg1 Hg 0.0000 0.0000 0.0000
Hg2 Hg 0.0000 0.4247 0.5000
```

Results
The value obtained for the calculated formation energy is -383 meV per atom. The calculation puts the density of states at the Fermi level at 4.54 states/eV per cell.

The following is a PBE calculation of crystalline Cs2KHg2F6 at its relaxed geometry, from the Alexandria database.

```
data_Cs2KHg2F6
_symmetry_space_group_name_H-M 'C 1 2/m 1'
_symmetry_Int_Tables_number 12
_cell_length_a 11.7244
_cell_length_b 7.0896
_cell_length_c 7.7134
_cell_angle_alpha 90.00
_cell_angle_beta 118.36
_cell_angle_gamma 90.00
loop_
_symmetry_equiv_pos_as_xyz
'x,y,z'
'-x,-y,-z'
'-x,y,-z'
'x,-y,z'
'x+1/2,y+1/2,z'
'-x+1/2,-y+1/2,-z'
'-x+1/2,y+1/2,-z'
'x+1/2,-y+1/2,z'
loop_
_atom_site_label
_atom_site_type_symbol
_atom_site_fract_x
_atom_site_fract_y
_atom_site_fract_z
Cs1 Cs 0.2104 0.0000 0.1568
K1 K 0.0000 0.0000 0.5000
Hg1 Hg 0.0594 0.5000 0.2016
F1 F 0.0647 0.2503 0.7985
F2 F 0.2440 0.0000 0.5587
```

Results
Its uncorrected formation energy is -2133.6 kJ/mol of formula units. The calculation puts the density of states at the Fermi level at 6.98 states/eV per cell.

The following is a PBE calculation of crystalline CaPaS2 at its relaxed geometry, from the Alexandria database.

```
data_CaPaS2
_symmetry_space_group_name_H-M 'R 3 m'
_symmetry_Int_Tables_number 160
_symmetry_space_group_name_Hall 'R 3 -2"'
_cell_length_a 3.7307
_cell_length_b 3.7307
_cell_length_c 21.7306
_cell_angle_alpha 90.00
_cell_angle_beta 90.00
_cell_angle_gamma 120.00
loop_
_atom_site_label
_atom_site_type_symbol
_atom_site_fract_x
_atom_site_fract_y
_atom_site_fract_z
Ca1 Ca 0.0000 0.0000 0.0000
Pa1 Pa 0.0000 0.0000 0.1730
S1 S 0.0000 0.0000 0.5876
S2 S 0.0000 0.0000 0.7549
```

Results
Its energy above the lowest structure with this stoichiometry is 81 meV/atom. Its uncorrected formation energy is -637.1 kJ/mol of formula units. The calculation puts the density of states at the Fermi level at 10.97 states/eV per cell.

The following is a PBE calculation of crystalline HfAg2AuBr at its relaxed geometry, from the Alexandria database.

```
data_HfAg2AuBr
_symmetry_space_group_name_H-M 'P 4/m m m'
_symmetry_Int_Tables_number 123
_symmetry_space_group_name_Hall '-P 4 2'
_cell_length_a 5.4329
_cell_length_b 5.4329
_cell_length_c 5.2066
_cell_angle_alpha 90.00
_cell_angle_beta 90.00
_cell_angle_gamma 90.00
loop_
_atom_site_label
_atom_site_type_symbol
_atom_site_fract_x
_atom_site_fract_y
_atom_site_fract_z
Hf1 Hf 0.0000 0.0000 0.0000
Ag1 Ag 0.0000 0.5000 0.0000
Au1 Au 0.0000 0.0000 0.5000
Br1 Br 0.5000 0.5000 0.5000
```

Results
Its uncorrected formation energy is 425.6 kJ/mol of formula units. The calculation puts the density of states at the Fermi level at 2.62 states/eV per cell.

The following is a PBE calculation of crystalline TlHgPd2 at its relaxed geometry, from the Alexandria database.

```
data_TlHgPd2
_symmetry_space_group_name_H-M 'I -4 2 d'
_symmetry_Int_Tables_number 122
_symmetry_space_group_name_Hall 'I -4 2bw'
_cell_length_a 4.2445
_cell_length_b 4.2445
_cell_length_c 18.9538
_cell_angle_alpha 90.00
_cell_angle_beta 90.00
_cell_angle_gamma 90.00
loop_
_atom_site_label
_atom_site_type_symbol
_atom_site_fract_x
_atom_site_fract_y
_atom_site_fract_z
Tl1 Tl 0.0000 0.0000 0.0000
Hg1 Hg 0.0000 0.0000 0.5000
Pd1 Pd 0.2455 0.2500 0.6250
```

Results
The value obtained for the calculated formation energy is 101 meV per atom. The calculation puts the density of states at the Fermi level at 6.33 states/eV per cell.

The following is a PBE calculation of crystalline PrCdAs2O8 at its relaxed geometry, from the Alexandria database.

```
data_PrCdAs2O8
_symmetry_space_group_name_H-M 'I -4 m 2'
_symmetry_Int_Tables_number 119
_symmetry_space_group_name_Hall 'I -4 -2'
_cell_length_a 7.3719
_cell_length_b 7.3719
_cell_length_c 6.5095
_cell_angle_alpha 90.00
_cell_angle_beta 90.00
_cell_angle_gamma 90.00
loop_
_atom_site_label
_atom_site_type_symbol
_atom_site_fract_x
_atom_site_fract_y
_atom_site_fract_z
Pr1 Pr 0.0000 0.0000 0.0000
Cd1 Cd 0.0000 0.5000 0.7500
As1 As 0.0000 0.0000 0.5000
As2 As 0.0000 0.5000 0.2500
O1 O 0.0000 0.1797 0.6700
O2 O 0.0000 0.3211 0.0807
```

Results
Its uncorrected formation energy is -1845.2 kJ/mol of formula units. The calculation puts the density of states at the Fermi level at 20.13 states/eV per cell.

The following is a PBE calculation of crystalline CdTeAs2 at its relaxed geometry, from the Alexandria database.

```
data_CdTeAs2
_symmetry_space_group_name_H-M 'P 4/m m m'
_symmetry_Int_Tables_number 123
_symmetry_space_group_name_Hall '-P 4 2'
_cell_length_a 5.0451
_cell_length_b 5.0451
_cell_length_c 3.5520
_cell_angle_alpha 90.00
_cell_angle_beta 90.00
_cell_angle_gamma 90.00
loop_
_atom_site_label
_atom_site_type_symbol
_atom_site_fract_x
_atom_site_fract_y
_atom_site_fract_z
Cd1 Cd 0.0000 0.0000 0.0000
Te1 Te 0.5000 0.5000 0.0000
As1 As 0.0000 0.5000 0.5000
```

Results
Its energy above the lowest structure with this stoichiometry is 394 meV/atom. Its uncorrected formation energy is 130.2 kJ/mol of formula units. The calculation puts the density of states at the Fermi level at 1.81 states/eV per cell.

The following is a PBE calculation of crystalline Ac6PSe3S2 at its relaxed geometry, from the Alexandria database.

```
data_Ac6PSe3S2
_symmetry_space_group_name_H-M 'C 1 2/m 1'
_symmetry_Int_Tables_number 12
_cell_length_a 7.6037
_cell_length_b 13.1750
_cell_length_c 7.7049
_cell_angle_alpha 90.00
_cell_angle_beta 109.18
_cell_angle_gamma 90.00
loop_
_symmetry_equiv_pos_as_xyz
'x,y,z'
'-x,-y,-z'
'-x,y,-z'
'x,-y,z'
'x+1/2,y+1/2,z'
'-x+1/2,-y+1/2,-z'
'-x+1/2,y+1/2,-z'
'x+1/2,-y+1/2,z'
loop_
_atom_site_label
_atom_site_type_symbol
_atom_site_fract_x
_atom_site_fract_y
_atom_site_fract_z
Ac1 Ac 0.2429 0.1651 0.2327
Ac2 Ac 0.2468 0.5000 0.2327
P1 P 0.0000 0.0000 0.0000
Se1 Se 0.0000 0.1667 0.5000
Se2 Se 0.0000 0.5000 0.5000
S1 S 0.0000 0.3331 0.0000
```

Results
Its uncorrected formation energy is -2181.7 kJ/mol of formula units. The calculation puts the density of states at the Fermi level at 12.57 states/eV per cell.